The following is a DFT calculation (PBE-GGA) of a geometry-optimized KBaCa2 structure.

Summary:
Energy above the most stable polymorph in this dataset (kJ/mol of atoms): 0.2
Energy of formation (meV/atom): 94

a = 4.038 Å, b = 4.038 Å, c = 13.591 Å
α = 90.00°, β = 90.00°, γ = 108.40°
Fractional coordinates of all 4 atoms:
1 Ba 0.500 0.500 0.772
2 Ca 0.000 0.000 0.011
3 Ca 0.500 0.500 0.229
4 K 0.000 0.000 0.488

The following is a DFT calculation (PBE-GGA) of a geometry-optimized NdTmInPb structure.

Summary:
Energy above the most stable polymorph in this dataset (kJ/mol of atoms): 0.0
Energy of formation (meV/atom): -445

a = 5.002 Å, b = 5.002 Å, c = 5.717 Å
α = 115.95°, β = 115.94°, γ = 90.00°
Fractional coordinates of all 4 atoms:
1 Nd 0.500 0.500 0.000
2 In 0.250 0.750 0.500
3 Pb 0.750 0.250 0.500
4 Tm 0.000 0.000 0.000

The following is a DFT calculation (PBE-GGA) of a geometry-optimized Li2UTiN4 structure.

Summary:
VASP energy (eV per cell): -122.94

a = 3.325 Å, b = 6.264 Å, c = 9.145 Å
α = 90.00°, β = 90.00°, γ = 105.39°
Last column: magnetic moment on the atom in μB.
Fractional coordinates of all 16 atoms:
1 Li 0.588 0.176 0.041  0.00
2 Li 0.412 0.824 0.959  0.00
3 Li 0.588 0.176 0.459  0.00
4 Li 0.412 0.824 0.541  0.00
5 Ti 0.796 0.592 0.750  0.03
6 Ti 0.204 0.408 0.250  0.03
7 N 0.000 0.000 0.000  -0.08
8 N 0.332 0.664 0.371  -0.06
9 N 0.388 0.775 0.750  -0.03
10 N 0.668 0.336 0.871  -0.06
11 N 0.668 0.336 0.629  -0.06
12 N 0.332 0.664 0.129  -0.06
13 N 0.000 0.000 0.500  -0.08
14 N 0.612 0.225 0.250  -0.03
15 U 0.934 0.869 0.250  0.71
16 U 0.066 0.131 0.750  0.71